The following is a DFT calculation (PBE) of a geometry-optimized ThAlGa2Rh4 structure.

Summary:
- uncorrected energy (eV/cell) = -53.5
- theoretical density (kg/m³) = 10196
- energy of formation from the pure elements (meV per atom) = -861
- crystal system = trigonal
- space-group type = R-3m
- size of the total moment (Bohr magnetons per cell) = 0.000

a b c (Å): 8.7834 8.7834 8.7834
angles (deg): 28.00 28.00 28.00
Closest atoms and distances in Å follow each position.
Positions (direct):
Th: 0.0000 0.0000 0.0000  6 Rh 2.98
Al: 0.5000 0.5000 0.5000  8 Rh 2.52-2.60
Ga: 0.2385 0.2385 0.2385  7 Rh 2.55-2.68
Ga: 0.7615 0.7615 0.7615  7 Rh 2.55-2.68
Rh: 0.1326 0.1326 0.1326  3 Al 2.60, 4 Ga 2.63-2.68
Rh: 0.4003 0.4003 0.4003  1 Al 2.52, 3 Ga 2.55
Rh: 0.5997 0.5997 0.5997  1 Al 2.52, 3 Ga 2.55
Rh: 0.8674 0.8674 0.8674  3 Al 2.60, 4 Ga 2.63-2.68